Entry 1:
The following is a DFT calculation (PBE-GGA) of a geometry-optimized BaLi3Sc structure.

Cell: 5.6113 5.6113 5.6113 Å, 90.00 90.00 90.00°
Element x y z (fractional)
Ba 0.0000 0.0000 0.0000
Li 0.0000 0.5000 0.5000
Li 0.5000 0.0000 0.5000
Li 0.5000 0.5000 0.0000
Sc 0.5000 0.5000 0.5000

Summary:
Energy of formation from the pure elements (eV/atom): 0.55
Energy (eV per cell): -11.2
Offset from the most stable computed form (eV per atom): 0.000
Fermi-level density of states (states/eV/f.u.): 8.56
Space group: No. 221
Calculated volume (A^3/atom): 35.34

Entry 2:
The following is a DFT calculation (PBE-GGA) of a geometry-optimized Sc2As2H structure.

Cell: 6.9100 6.9100 6.7073 Å, 90.00 90.00 147.35°
Element x y z (fractional)
Sc 0.0488 0.9512 0.5000
Sc 0.3415 0.6585 0.3592
Sc 0.6585 0.3415 0.8592
Sc 0.9512 0.0488 0.0000
As 0.2967 0.7033 0.9669
As 0.4488 0.5512 0.7065
As 0.5512 0.4488 0.2065
As 0.7033 0.2967 0.4669
H 0.0937 0.9063 0.8185
H 0.9063 0.0937 0.3185

Summary:
Energy (eV per cell): -59.5
Offset from the most stable computed form (eV per atom): 0.000
Fermi-level density of states (states/eV/f.u.): 3.39
Space group: No. 36
Calculated volume (A^3/atom): 17.28

Entry 3:
The following is a DFT calculation (PBE-GGA) of a geometry-optimized Rb2Sn2Br7 structure.

Cell: 8.3339 8.3339 7.0897 Å, 93.38 93.38 95.38°
Element x y z (fractional)
Rb 0.2202 0.7798 0.0000
Rb 0.7798 0.2202 0.0000
Sn 0.2344 0.2344 0.5830
Sn 0.7351 0.7351 0.4924
Br 0.0293 0.4515 0.7245
Br 0.1838 0.1838 0.2070
Br 0.4515 0.0293 0.7245
Br 0.4822 0.4822 0.5774
Br 0.5938 0.8980 0.2269
Br 0.8980 0.5938 0.2269
Br 0.9823 0.9823 0.6447

Summary:
Raw formation energy (meV/atom): -1066
Energy (eV per cell): -33.4
Offset from the most stable computed form (eV per atom): 0.000
Fermi-level density of states (states/eV/f.u.): 3.54
Space group: No. 8
Calculated volume (A^3/atom): 44.40